First-principles (PBEsol) data for crystalline BaTi2Be at its relaxed geometry, as listed in Alexandria via LeMat-Bulk.

POSCAR file:
```
BaTi2Be
1.0
-2.241 2.241 9.672
2.241 -2.241 9.672
2.241 2.241 -9.672
Ba Ti Be
2 4 2
Cartesian
0.000 0.000 0.000
0.000 2.241 4.836
1.120 -0.277 7.254
1.964 1.120 2.418
1.120 2.517 -2.418
0.277 1.120 12.089
2.241 0.000 4.836
0.000 0.000 9.672
```

Properties
**Uncorrected energy**: -18.8 eV per formula unit
**D(E_F)**: 1.2897 states/eV/atom
**Volume**: 194 Å³/cell

First-principles (PBEsol) data for crystalline Ba2BeTl at its relaxed geometry, as listed in Alexandria via LeMat-Bulk.

POSCAR file:
```
Ba2BeTl
1.0
-1.977 2.869 5.476
1.977 -2.869 5.476
1.977 2.869 -5.476
Ba Be Tl
2 1 1
Cartesian
0.000 0.000 0.000
0.000 2.869 1.980
1.977 0.000 2.765
0.000 0.000 4.329
```

Properties
**Excess energy over the best structure of this formula in the dataset**: 0.0 meV per atom
**D(E_F)**: 0.7493 states/eV/atom
**Volume**: 124 Å³/cell

First-principles (PBEsol) data for crystalline Ba2BeTl at its relaxed geometry, as listed in Alexandria via LeMat-Bulk.

POSCAR file:
```
Ba2BeTl
1.0
0.000 4.070 4.070
4.070 0.000 4.070
4.070 4.070 0.000
Ba Be Tl
2 1 1
Cartesian
2.035 2.035 2.035
6.105 6.105 6.105
0.000 0.000 0.000
4.070 4.070 4.070
```

Properties
**Excess energy over the best structure of this formula in the dataset**: 79.0 meV per atom
**D(E_F)**: 0.6937 states/eV/atom
**Volume**: 135 Å³/cell

First-principles (PBEsol) data for crystalline Ba2BeTl at its relaxed geometry, as listed in Alexandria via LeMat-Bulk.

POSCAR file:
```
Ba2BeTl
1.0
2.082 1.202 9.846
-2.082 1.202 9.846
0.000 -2.404 9.846
Ba Be Tl
2 1 1
Cartesian
0.000 0.000 7.157
0.000 0.000 22.381
0.000 0.000 14.769
0.000 0.000 0.000
```

Properties
**Excess energy over the best structure of this formula in the dataset**: 295.3 meV per atom
**D(E_F)**: 0.9271 states/eV/atom
**Volume**: 148 Å³/cell

First-principles (PBEsol) data for crystalline BaBeW at its relaxed geometry, as listed in Alexandria via LeMat-Bulk.

POSCAR file:
```
BaBeW
1.0
0.000 3.287 3.287
3.287 0.000 3.287
3.287 3.287 0.000
Ba Be W
1 1 1
Cartesian
0.000 0.000 0.000
3.287 3.287 3.287
1.644 1.644 1.644
```

Properties
**Excess energy over the best structure of this formula in the dataset**: 440.5 meV per atom
**D(E_F)**: 0.3438 states/eV/atom
**Volume**: 71 Å³/cell

First-principles (PBEsol) data for crystalline BaBeW at its relaxed geometry, as listed in Alexandria via LeMat-Bulk.

POSCAR file:
```
BaBeW
1.0
4.844 0.000 0.000
-2.422 4.195 0.000
0.000 0.000 3.013
Ba Be W
1 1 1
Cartesian
0.000 0.000 0.000
0.000 2.797 1.507
2.422 1.398 1.507
```

Properties
**Excess energy over the best structure of this formula in the dataset**: 0.0 meV per atom
**D(E_F)**: 0.8893 states/eV/atom
**Volume**: 61 Å³/cell